1.
! PBE-GGA Na2Hg2Ir, optimized geometry; values from VASP
&SYSTEM
  ibrav = 0, nat = 10, ntyp = 3
/
ATOMIC_SPECIES
Hg 200.59 Hg.upf
Ir 192.22 Ir.upf
Na 22.99 Na.upf
ATOMIC_POSITIONS crystal
Hg 0.8499 0.6501 0.0000
Hg 0.6501 0.1501 0.0000
Hg 0.3499 0.8499 0.0000
Hg 0.1501 0.3499 0.0000
Ir 0.5000 0.5000 0.0000
Ir 0.0000 0.0000 0.0000
Na 0.3235 0.1765 0.5000
Na 0.8235 0.3235 0.5000
Na 0.1765 0.6765 0.5000
Na 0.6765 0.8235 0.5000
CELL_PARAMETERS angstrom
-1.8403 6.2246 2.7884
0.2489 -2.8249 6.4704
4.6566 1.2186 0.3529
! - SG: P4/mbm
! - Spin magnetization: 0.00 μB/cell
! - Energy relative to the elements: 0.16 eV/atom
! - Total energy: -22.56 eV for the cell shown



2.
! PBE-GGA YLuScAg, optimized geometry; values from VASP
&SYSTEM
  ibrav = 0, nat = 4, ntyp = 4
/
ATOMIC_SPECIES
Sc 44.96 Sc.upf
Y 88.91 Y.upf
Lu 174.97 Lu.upf
Ag 107.87 Ag.upf
ATOMIC_POSITIONS crystal
Sc 0.0000 0.0000 0.0000
Y 0.7500 0.7500 0.7500
Lu 0.2500 0.2500 0.2500
Ag 0.5000 0.5000 0.5000
CELL_PARAMETERS angstrom
5.2319 0.0000 0.0000
2.6160 4.5310 0.0000
2.6160 1.5103 4.2719
! - SG: F-43m
! - Spin magnetization: 0.00 μB/cell
! - Energy relative to the elements: 0.03 eV/atom
! - Total energy: -20.04 eV for the cell shown



Q: energy relative to the elements of number 1 (Na2Hg2Ir)?
A: 0.16 eV/atom